Compound: SrCrFeO4
Source: Alexandria via LeMat-Bulk
Functional: PBE with a Hubbard U
Structure: relaxed

Geometry as CIF:
```
data_SrCrFeO4
_cell_length_a 5.777
_cell_length_b 5.211
_cell_length_c 6.277
_cell_angle_alpha 90.00
_cell_angle_beta 104.49
_cell_angle_gamma 90.00
_space_group_name_H-M_alt 'P 1 21/m 1'
_space_group_IT_number 11
loop_
_space_group_symop_operation_xyz
'x,y,z'
'-x,-y,-z'
'-x,y+1/2,-z'
'x,-y+1/2,z'
loop_
_atom_site_label
_atom_site_type_symbol
_atom_site_fract_x
_atom_site_fract_y
_atom_site_fract_z
Sr1 Sr 0.165 0.250 0.102
Cr1 Cr 0.145 0.750 0.468
Fe1 Fe 0.403 0.250 0.671
O1 O 0.111 0.010 0.692
O2 O 0.246 0.750 0.188
O3 O 0.474 0.750 0.607
```

Properties
- Final energy: -6.712 eV per atom
- Total magnetic moment: 0.852 μB per atom